(1)
{
  "formula": "Y2MgGeB",
  "functional": "GGA-PBEsol",
  "state": "relaxed",
  "cell": [[4.6832, 0.0000, 0.0000], [0.0000, 5.3215, 0.0000], [0.0000, 0.0000, 5.3215]],
  "species": ["Y", "Y", "Ge", "B", "Mg"],
  "fractional_positions": [[0.0000, 0.0000, 0.5000], [0.0000, 0.5000, 0.0000], [0.0000, 0.0000, 0.0000], [0.5000, 0.5000, 0.5000], [0.5000, 0.0000, 0.0000]],
  "final_energy_ev_per_atom": -4.80,
  "dos_at_fermi_per_ev_cell": 4.8,
  "formation_enthalpy_0k_mev_per_atom": 663,
  "sg": "P4/mmm",
  "m_tot_mub_per_cell": 0.0
}


(2)
{
  "formula": "BaZrCl2",
  "functional": "GGA-PBEsol",
  "state": "relaxed",
  "cell": [[3.3087, 0.0000, 0.0000], [-1.6544, 3.2446, 0.0000], [0.0000, 0.0000, 9.3445]],
  "species": ["Ba", "Zr", "Cl", "Cl"],
  "fractional_positions": [[0.5000, 0.0000, 0.0000], [0.5000, 0.0000, 0.5000], [0.0000, 0.0000, 0.7179], [0.0000, 0.0000, 0.2821]],
  "final_energy_ev_per_atom": -4.80,
  "dos_at_fermi_per_ev_cell": 2.3,
  "sg": "Cmmm",
  "m_tot_mub_per_cell": 0.0,
  "formation_energy_uncorrected_mev_per_atom": -989
}


(3)
{
  "formula": "TeMoP2O",
  "functional": "GGA-PBEsol",
  "state": "relaxed",
  "cell": [[-1.0816, 3.6514, -0.3895], [-0.8183, -0.7560, -4.8154], [-4.6700, -1.2772, 0.9941]],
  "species": ["P", "P", "Mo", "Te", "O"],
  "fractional_positions": [[0.0000, 0.0000, 0.5000], [0.0000, 0.5000, 0.0000], [0.5000, 0.5000, 0.5000], [0.0000, 0.0000, 0.0000], [0.5000, 0.0000, 0.0000]],
  "final_energy_ev_per_atom": -5.49,
  "dos_at_fermi_per_ev_cell": 1.9,
  "sg": "P4/mmm",
  "m_tot_mub_per_cell": 2.7,
  "formation_energy_uncorrected_mev_per_atom": 938
}